3
Lattice="3.6836 0.0000 0.0000 -1.8418 3.1901 0.0000 0.0000 0.0000 9.1919" Properties=species:S:1:pos:R:3 comment="CaLaEr | the Alexandria database | GGA-PBE | relaxed" magmom_total_mub_per_fu=0.00 formation_energy_ev_per_atom=0.057 pbc="T T T"
Er 1.8418 1.0634 3.1511
Ca 0.0000 0.0000 0.0753
La 0.0000 2.1267 5.9655


4
Lattice="-0.0348 4.8996 -3.3565 -5.1606 2.4537 -1.6191 -1.6837 5.1919 2.3417" Properties=species:S:1:pos:R:3 comment="Ca2LaEr | the Alexandria database | GGA-PBE | relaxed" magmom_total_mub_per_fu=0.00 formation_energy_ev_per_atom=0.153 pbc="T T T"
Er 0.0000 0.0000 0.0000
Ca -5.1593 9.4089 -1.9755
Ca -1.7198 3.1363 -0.6585
La -3.4396 6.2726 -1.3170


4
Lattice="-1.0512 3.0448 1.8586 -6.0489 -0.8940 -1.9188 -6.6427 -2.7005 4.3647" Properties=species:S:1:pos:R:3 comment="Ca2LaEr | the Alexandria database | GGA-PBE | relaxed" magmom_total_mub_per_fu=0.00 formation_energy_ev_per_atom=0.115 pbc="T T T"
Er -3.4674 1.7289 1.8481
Ca -10.5098 -2.5576 1.1847
Ca -8.0665 -0.6225 3.0996
La -5.9668 -0.2399 -0.0406


4
Lattice="4.2742 0.0000 0.0000 0.0000 5.8825 0.0000 0.0000 0.0000 5.8825" Properties=species:S:1:pos:R:3 comment="Ca2LaEr | the Alexandria database | GGA-PBE | relaxed" magmom_total_mub_per_fu=0.04 formation_energy_ev_per_atom=0.161 pbc="T T T"
Er 2.1371 2.9413 2.9413
La 2.1371 0.0000 0.0000
Ca 0.0000 2.9413 0.0000
Ca 0.0000 0.0000 2.9413


18
Lattice="10.1389 0.0000 0.0000 -5.0695 9.4068 0.6952 0.0000 2.2055 6.7917" Properties=species:S:1:pos:R:3 comment="CaLa5Er3 | the Alexandria database | GGA-PBE | relaxed" magmom_total_mub_per_fu=0.00 formation_energy_ev_per_atom=0.076 pbc="T T T"
Er -0.0009 6.7006 1.5746
Er 0.0009 7.8033 4.9705
Er 5.0704 4.9118 5.9124
Er 5.0685 3.8090 2.5165
Er 0.0000 0.0000 0.0000
Er 0.0000 1.1027 3.3959
La 1.8961 4.3885 4.2068
La 1.4262 3.4309 0.7614
La -3.1734 8.3266 6.6760
La 6.4956 7.0787 3.3297
La 3.1734 7.2238 3.2801
La 3.2123 1.6541 5.0938
La 8.2428 3.2857 0.8110
La -1.4262 4.5336 4.1573
La 6.9266 0.5514 1.6979
La 3.6433 8.1815 6.7256
Ca 6.7403 1.6541 5.0938
Ca 3.3986 0.5514 1.6979


4
Lattice="-0.8626 2.7623 -2.3130 -3.5414 0.6450 -0.8758 -2.4374 8.9087 8.5816" Properties=species:S:1:pos:R:3 comment="Ca2LaEr | the Alexandria database | GGA-PBE | relaxed" magmom_total_mub_per_fu=0.71 formation_energy_ev_per_atom=0.109 pbc="T T T"
Ca -2.1868 6.8997 6.0888
Ca -1.7191 3.1494 1.4356
Er -3.4202 6.1540 2.6915
La -5.3733 11.1796 6.4549


13
Lattice="-6.0292 2.1430 -1.5901 -3.0280 -3.9295 6.1854 0.5783 10.0504 1.5859" Properties=species:S:1:pos:R:3 comment="Ca2La8Er3 | the Alexandria database | GGA-PBE | relaxed" magmom_total_mub_per_fu=0.00 formation_energy_ev_per_atom=0.168 pbc="T T T"
La -3.8317 4.0180 5.7589
La -6.1142 5.9579 3.5619
La -3.2674 -0.7709 2.9928
La -4.6473 4.2459 0.4224
La -2.3647 2.3060 2.6194
La -4.4638 8.0997 0.1904
La -5.2115 9.0348 3.1885
La -4.0151 0.1642 5.9908
Ca -6.1895 2.1136 3.3948
Ca -2.2895 6.1503 2.7864
Er -2.4451 -3.1731 4.9948
Er -3.0146 1.0715 -0.7950
Er -0.5829 -0.7564 1.1906


19
Lattice="9.1575 -0.2000 -2.4489 -3.1404 8.6045 -2.4489 -0.1432 -0.2000 9.4782" Properties=species:S:1:pos:R:3 comment="CaLa12Er6 | the Alexandria database | GGA-PBE | relaxed" magmom_total_mub_per_fu=0.00 formation_energy_ev_per_atom=0.395 pbc="T T T"
Er 5.3132 2.4102 0.4440
Er 0.5607 5.7942 4.1364
Er 5.3044 2.3980 4.1364
Er 1.7256 2.4102 5.0447
Er 4.1483 5.7942 -0.4643
Er 0.5694 5.8064 0.4440
La 2.9177 7.5302 2.2752
La 1.7896 7.4724 -2.2752
La 2.1590 3.0157 -0.8667
La 6.1882 5.1887 2.2752
La 2.9561 0.6742 2.3052
La -0.6232 4.1022 6.8556
La -1.7705 7.4724 2.2902
La -0.3144 3.0157 2.3052
La 3.7148 5.1887 5.4471
La 7.6443 0.7320 2.2902
La 6.4970 4.1022 -2.2752
La 4.0842 0.7320 6.8556
Ca 0.0000 0.0000 0.0000


3
Lattice="-0.3419 -3.0238 -2.1394 3.4256 -1.0755 0.9727 -4.5196 -1.9244 6.6761" Properties=species:S:1:pos:R:3 comment="CaLaEr | the Alexandria database | GGA-PBE | relaxed" magmom_total_mub_per_fu=0.00 formation_energy_ev_per_atom=0.061 pbc="T T T"
Er -1.9449 -2.5956 3.9794
La 0.4832 -3.4626 1.5827
Ca -1.4100 -5.9893 5.4565


4
Lattice="3.6373 0.0000 0.0000 1.8186 3.1500 0.0000 1.8186 1.0500 12.0290" Properties=species:S:1:pos:R:3 comment="CaLaEr2 | the Alexandria database | GGA-PBE | relaxed" magmom_total_mub_per_fu=0.00 formation_energy_ev_per_atom=0.078 pbc="T T T"
La 0.0000 0.0000 0.0000
Er 1.8186 1.0500 2.9005
Er 5.4559 3.1500 9.1285
Ca 3.6373 2.1000 6.0145


4
Lattice="3.6830 0.0000 0.0000 0.0000 3.6830 0.0000 0.0000 0.0000 10.2505" Properties=species:S:1:pos:R:3 comment="CaLaEr2 | the Alexandria database | GGA-PBE | relaxed" magmom_total_mub_per_fu=0.04 formation_energy_ev_per_atom=0.094 pbc="T T T"
Er 0.0000 0.0000 7.8274
Er 0.0000 0.0000 2.4231
La 1.8415 1.8415 0.0000
Ca 1.8415 1.8415 5.1253


12
Lattice="-0.8042 -4.1655 -3.0668 4.8861 -1.6304 0.9332 -5.1036 -8.1740 12.4404" Properties=species:S:1:pos:R:3 comment="CaLa9Er2 | the Alexandria database | GGA-PBE | relaxed" magmom_total_mub_per_fu=0.00 formation_energy_ev_per_atom=0.022 pbc="T T T"
La -0.1087 -4.9022 6.6868
La -1.7776 -7.5751 10.7548
La -1.3487 -8.3269 7.1958
La 0.3271 -5.6430 3.1110
La -1.2850 -3.4968 0.6188
La 2.0410 -2.8979 -1.0668
La 1.5601 -2.2293 2.6188
La -2.9539 -6.1697 4.6868
La -4.6227 -8.8426 8.7547
Er -1.7072 -2.7343 4.1615
Er -3.3963 -5.4397 8.2789
Ca 0.0000 0.0000 0.0000


6
Lattice="-1.1473 3.0100 -1.7996 -1.9414 -3.1304 -0.2156 -9.8031 5.0657 14.7229" Properties=species:S:1:pos:R:3 comment="CaLaEr | the Alexandria database | GGA-PBE | relaxed" magmom_total_mub_per_fu=0.00 formation_energy_ev_per_atom=0.031 pbc="T T T"
Er -9.8020 5.0651 14.7213
Er -2.8925 1.7283 0.9520
Ca -6.4313 1.3733 6.3973
Ca -7.9206 4.3265 8.5035
La -9.9455 3.1893 11.6751
La -2.9957 1.5480 4.4991


6
Lattice="3.5769 0.0000 0.0000 0.0000 9.2179 0.0000 0.0000 0.0000 6.7834" Properties=species:S:1:pos:R:3 comment="CaLaEr | the Alexandria database | GGA-PBE | relaxed" magmom_total_mub_per_fu=0.01 formation_energy_ev_per_atom=0.173 pbc="T T T"
Er 0.0000 4.6090 3.3917
Er 0.0000 4.6090 0.0000
La 1.7884 7.1681 5.0876
La 1.7884 2.0498 1.6959
Ca 0.0000 1.3293 5.0876
Ca 0.0000 7.8886 1.6959


4
Lattice="-1.7766 2.0113 4.5507 -3.4645 -3.7304 0.2962 3.3261 -2.8847 2.5734" Properties=species:S:1:pos:R:3 comment="CaLaEr2 | the Alexandria database | GGA-PBE | relaxed" magmom_total_mub_per_fu=0.00 formation_energy_ev_per_atom=0.134 pbc="T T T"
Er 1.6630 -1.4423 1.2867
Er -1.7323 -1.8652 0.1481
La -0.8883 1.0057 2.2754
Ca -0.9575 -2.3019 3.7102


4
Lattice="5.6999 0.0000 0.0000 2.8499 4.9362 0.0000 2.8499 1.6454 4.6539" Properties=species:S:1:pos:R:3 comment="LiCaLaEr | the Alexandria database | GGA-PBE | relaxed" magmom_total_mub_per_fu=0.00 formation_energy_ev_per_atom=0.200 pbc="T T T"
Ca 2.8499 1.6454 1.1635
La 8.5498 4.9362 3.4904
Li 0.0000 0.0000 0.0000
Er 5.6999 3.2908 2.3270


4
Lattice="5.7810 0.0000 0.0000 2.8905 5.0065 0.0000 2.8905 1.6688 4.7202" Properties=species:S:1:pos:R:3 comment="CaLaErLu | the Alexandria database | GGA-PBE | relaxed" magmom_total_mub_per_fu=0.00 formation_energy_ev_per_atom=0.132 pbc="T T T"
Lu 8.6715 5.0065 3.5401
Ca 2.8905 1.6688 1.1800
La 5.7810 3.3377 2.3601
Er 0.0000 0.0000 0.0000


20
Lattice="-1.7740 -2.7936 3.8633 7.6254 -7.3964 -1.8471 6.6317 5.1471 6.7671" Properties=species:S:1:pos:R:3 comment="CaLa2Er2Mg5 | the Alexandria database | GGA-PBE | relaxed" magmom_total_mub_per_fu=0.00 formation_energy_ev_per_atom=0.003 pbc="T T T"
La 6.3044 -4.0913 -0.0636
La 7.9526 1.8420 4.9837
La 10.7675 -2.6306 3.0420
La 3.4895 0.3813 1.8780
Mg 2.9257 -5.0950 1.0081
Mg 5.1679 -0.6599 5.2448
Mg 1.1261 -2.5293 2.0371
Mg 11.3570 -2.5137 6.7462
Mg 2.4289 1.1767 5.3152
Mg 8.1239 -2.0036 5.6305
Mg 4.3592 -3.0394 3.1528
Mg 4.9426 2.1846 7.1983
Mg 7.5405 -7.2276 1.5851
Mg 7.3152 -4.3831 3.5385
Ca 0.0000 0.0000 0.0000
Ca 7.1285 -1.1247 2.4600
Er 5.0147 2.3055 3.9698
Er 10.5628 -0.0458 4.8171
Er 9.2424 -4.5549 0.9502
Er 3.6943 -2.2036 0.1029


4
Lattice="5.6770 0.0000 0.0000 2.8385 4.9164 0.0000 2.8385 1.6388 4.6353" Properties=species:S:1:pos:R:3 comment="CaLaErMg | the Alexandria database | GGA-PBE | relaxed" magmom_total_mub_per_fu=0.00 formation_energy_ev_per_atom=0.063 pbc="T T T"
Mg 2.8385 1.6388 1.1588
Ca 8.5155 4.9164 3.4764
La 0.0000 0.0000 0.0000
Er 5.6770 3.2776 2.3176


4
Lattice="5.8604 0.0000 0.0000 2.9302 5.0753 0.0000 2.9302 1.6918 4.7850" Properties=species:S:1:pos:R:3 comment="CaLaPmEr | the Alexandria database | GGA-PBE | relaxed" magmom_total_mub_per_fu=0.00 formation_energy_ev_per_atom=0.113 pbc="T T T"
Pm 5.8604 3.3835 2.3925
La 0.0000 0.0000 0.0000
Ca 2.9302 1.6918 1.1963
Er 8.7906 5.0753 3.5888